# 1
B2C after structural relaxation, computed with PBE.

DOS at the Fermi energy (states/eV per atom): 0.119
Calculated formation energy (eV per atom): 0.29
Energy above the most stable polymorph in this dataset (meV/atom): 100.5
Calculated density (g cm⁻³): 2.55
Calculated volume (Å³ per cell): 87.8

```
data_B2C
_cell_length_a 4.683
_cell_length_b 2.697
_cell_length_c 6.955
_cell_angle_alpha 90.00
_cell_angle_beta 92.15
_cell_angle_gamma 90.00
_symmetry_space_group_name_H-M 'P 1 m 1'
_symmetry_Int_Tables_number 6
loop_
_symmetry_equiv_pos_as_xyz
'x,y,z'
'x,-y,z'
loop_
_atom_site_label
_atom_site_type_symbol
_atom_site_fract_x
_atom_site_fract_y
_atom_site_fract_z
B1 B 0.000 0.000 0.000
B2 B 0.053 0.500 0.802
B3 B 0.161 0.500 0.399
B4 B 0.295 0.500 0.005
B5 B 0.473 0.500 0.539
B6 B 0.550 0.000 0.740
B7 B 0.611 0.500 0.144
B8 B 0.776 0.000 0.539
C1 C 0.383 0.500 0.769
C2 C 0.781 0.000 0.175
C3 C 0.883 0.000 0.771
C4 C 0.989 0.000 0.363
```

# 2
Cu7NiPd4 after structural relaxation, computed with PBE.

DOS at the Fermi energy (states/eV per atom): 0.812
Calculated formation energy (eV per atom): 0.12
Energy above the most stable polymorph in this dataset (meV/atom): 81.1
Calculated density (g cm⁻³): 9.33
Calculated volume (Å³ per cell): 330.9

```
data_Cu7NiPd4
_cell_length_a 11.714
_cell_length_b 4.481
_cell_length_c 6.931
_cell_angle_alpha 90.00
_cell_angle_beta 114.57
_cell_angle_gamma 90.00
_symmetry_space_group_name_H-M 'C 1 2/m 1'
_symmetry_Int_Tables_number 12
loop_
_symmetry_equiv_pos_as_xyz
'x,y,z'
'-x,-y,-z'
'-x,y,-z'
'x,-y,z'
'x+1/2,y+1/2,z'
'-x+1/2,-y+1/2,-z'
'-x+1/2,y+1/2,-z'
'x+1/2,-y+1/2,z'
loop_
_atom_site_label
_atom_site_type_symbol
_atom_site_fract_x
_atom_site_fract_y
_atom_site_fract_z
Cu1 Cu 0.000 0.000 0.000
Cu2 Cu 0.062 0.000 0.692
Cu3 Cu 0.067 0.500 0.406
Cu4 Cu 0.217 0.500 0.226
Ni1 Ni 0.000 0.500 0.000
Pd1 Pd 0.174 0.000 0.378
Pd2 Pd 0.179 0.500 0.847
```

# 3
Tm3CoPd after structural relaxation, computed with PBE.

DOS at the Fermi energy (states/eV per atom): 0.750
Calculated formation energy (eV per atom): -0.45
Energy above the most stable polymorph in this dataset (meV/atom): 20.0
Calculated density (g cm⁻³): 9.76
Calculated volume (Å³ per cell): 457.4

```
data_Tm3CoPd
_cell_length_a 10.818
_cell_length_b 4.111
_cell_length_c 10.377
_cell_angle_alpha 90.00
_cell_angle_beta 97.63
_cell_angle_gamma 90.00
_symmetry_space_group_name_H-M 'C 1 2/m 1'
_symmetry_Int_Tables_number 12
loop_
_symmetry_equiv_pos_as_xyz
'x,y,z'
'-x,-y,-z'
'-x,y,-z'
'x,-y,z'
'x+1/2,y+1/2,z'
'-x+1/2,-y+1/2,-z'
'-x+1/2,y+1/2,-z'
'x+1/2,-y+1/2,z'
loop_
_atom_site_label
_atom_site_type_symbol
_atom_site_fract_x
_atom_site_fract_y
_atom_site_fract_z
Tm1 Tm 0.097 0.000 0.216
Tm2 Tm 0.138 0.500 0.917
Tm3 Tm 0.150 0.000 0.595
Co1 Co 0.234 0.500 0.169
Pd1 Pd 0.072 0.500 0.397
```

# 4
TaTiNb after structural relaxation, computed with PBE.

DOS at the Fermi energy (states/eV per atom): 1.830
Calculated formation energy (eV per atom): 0.03
Energy above the most stable polymorph in this dataset (meV/atom): 12.0
Calculated density (g cm⁻³): 9.97
Calculated volume (Å³ per cell): 107.2

```
data_TaTiNb
_cell_length_a 4.650
_cell_length_b 4.681
_cell_length_c 5.437
_cell_angle_alpha 90.00
_cell_angle_beta 115.08
_cell_angle_gamma 90.00
_symmetry_space_group_name_H-M 'P 1 21/m 1'
_symmetry_Int_Tables_number 11
loop_
_symmetry_equiv_pos_as_xyz
'x,y,z'
'-x,-y,-z'
'-x,y+1/2,-z'
'x,-y+1/2,z'
loop_
_atom_site_label
_atom_site_type_symbol
_atom_site_fract_x
_atom_site_fract_y
_atom_site_fract_z
Ta1 Ta 0.243 0.250 0.487
Ti1 Ti 0.080 0.750 0.161
Nb1 Nb 0.412 0.750 0.824
```